(A)
# Cu2C | the Alexandria database | GGA-PBE | relaxed
data_Cu2C
_chemical_formula_sum 'Cu8 C4'
_symmetry_space_group_name_H-M 'F m -3 m'
_symmetry_Int_Tables_number 225
_symmetry_space_group_name_Hall '-F 4 2 3'
_cell_length_a 4.9660
_cell_length_b 4.9660
_cell_length_c 4.9660
_cell_angle_alpha 90.00
_cell_angle_beta 90.00
_cell_angle_gamma 90.00
loop_
_atom_site_label
_atom_site_type_symbol
_atom_site_fract_x
_atom_site_fract_y
_atom_site_fract_z
Cu1 Cu 0.2500 0.2500 0.2500
C1 C 0.0000 0.0000 0.0000
# - M_tot: 0.000 μB per atom

(B)
# Cu2C | the Alexandria database | GGA-PBE | relaxed
data_Cu2C
_chemical_formula_sum 'Cu6 C3'
_symmetry_space_group_name_H-M 'P -3 1 m'
_symmetry_Int_Tables_number 162
_symmetry_space_group_name_Hall '-P 3 2'
_cell_length_a 4.8423
_cell_length_b 4.8423
_cell_length_c 4.7480
_cell_angle_alpha 90.00
_cell_angle_beta 90.00
_cell_angle_gamma 120.00
loop_
_atom_site_label
_atom_site_type_symbol
_atom_site_fract_x
_atom_site_fract_y
_atom_site_fract_z
Cu1 Cu 0.0000 0.3396 0.2393
C1 C 0.0000 0.0000 0.0000
C2 C 0.3333 0.6667 0.5000
# - M_tot: 0.000 μB per atom

Q: Which of them is the most stable? A: (B).

(A)
# Cu2C | the Alexandria database | GGA-PBE | relaxed
data_Cu2C
_chemical_formula_sum 'Cu4 C2'
_symmetry_space_group_name_H-M 'P 63/m m c'
_symmetry_Int_Tables_number 194
_symmetry_space_group_name_Hall '-P 6c 2c'
_cell_length_a 3.4090
_cell_length_b 3.4090
_cell_length_c 6.2310
_cell_angle_alpha 90.00
_cell_angle_beta 90.00
_cell_angle_gamma 120.00
loop_
_atom_site_label
_atom_site_type_symbol
_atom_site_fract_x
_atom_site_fract_y
_atom_site_fract_z
Cu1 Cu 0.0000 0.0000 0.0000
Cu2 Cu 0.3333 0.6667 0.2500
C1 C 0.3333 0.6667 0.7500
# - M_tot: 0.000 μB per atom

(B)
# Cu2C | the Alexandria database | GGA-PBE | relaxed
data_Cu2C
_chemical_formula_sum 'Cu8 C4'
_symmetry_space_group_name_H-M 'C m c 21'
_symmetry_Int_Tables_number 36
_cell_length_a 2.5677
_cell_length_b 9.7478
_cell_length_c 4.9270
_cell_angle_alpha 90.00
_cell_angle_beta 90.00
_cell_angle_gamma 90.00
loop_
_symmetry_equiv_pos_as_xyz
'x,y,z'
'-x,-y,z+1/2'
'-x,y,z'
'x,-y,z+1/2'
'x+1/2,y+1/2,z'
'-x+1/2,-y+1/2,z+1/2'
'-x+1/2,y+1/2,z'
'x+1/2,-y+1/2,z+1/2'
loop_
_atom_site_label
_atom_site_type_symbol
_atom_site_fract_x
_atom_site_fract_y
_atom_site_fract_z
Cu1 Cu 0.0000 0.0201 0.0000
Cu2 Cu 0.0000 0.2419 0.4977
C1 C 0.0000 0.3911 0.2055
# - M_tot: 0.000 μB per atom

(C)
# Cu2C | the Alexandria database | GGA-PBE | relaxed
data_Cu2C
_chemical_formula_sum 'Cu2 C1'
_symmetry_space_group_name_H-M 'P 4/m m m'
_symmetry_Int_Tables_number 123
_symmetry_space_group_name_Hall '-P 4 2'
_cell_length_a 2.9093
_cell_length_b 2.9093
_cell_length_c 3.8353
_cell_angle_alpha 90.00
_cell_angle_beta 90.00
_cell_angle_gamma 90.00
loop_
_atom_site_label
_atom_site_type_symbol
_atom_site_fract_x
_atom_site_fract_y
_atom_site_fract_z
Cu1 Cu 0.0000 0.0000 0.0000
Cu2 Cu 0.5000 0.5000 0.5000
C1 C 0.0000 0.0000 0.5000
# - M_tot: 0.000 μB per atom

Q: Which of them is the most stable? A: (B).

(A)
# Cu2C | the Alexandria database | GGA-PBE | relaxed
data_Cu2C
_chemical_formula_sum 'Cu8 C4'
_symmetry_space_group_name_H-M 'C m c m'
_symmetry_Int_Tables_number 63
_symmetry_space_group_name_Hall '-C 2c 2'
_cell_length_a 2.7102
_cell_length_b 10.4269
_cell_length_c 4.4522
_cell_angle_alpha 90.00
_cell_angle_beta 90.00
_cell_angle_gamma 90.00
loop_
_atom_site_label
_atom_site_type_symbol
_atom_site_fract_x
_atom_site_fract_y
_atom_site_fract_z
Cu1 Cu 0.0000 0.0683 0.2500
Cu2 Cu 0.0000 0.2124 0.7500
C1 C 0.0000 0.4237 0.2500
# - M_tot: 0.000 μB per atom

(B)
# Cu2C | the Alexandria database | GGA-PBE | relaxed
data_Cu2C
_chemical_formula_sum 'Cu2 C1'
_symmetry_space_group_name_H-M 'P -3 m 1'
_symmetry_Int_Tables_number 164
_symmetry_space_group_name_Hall '-P 3 2"'
_cell_length_a 2.9549
_cell_length_b 2.9549
_cell_length_c 4.2385
_cell_angle_alpha 90.00
_cell_angle_beta 90.00
_cell_angle_gamma 120.00
loop_
_atom_site_label
_atom_site_type_symbol
_atom_site_fract_x
_atom_site_fract_y
_atom_site_fract_z
Cu1 Cu 0.3333 0.6667 0.2588
C1 C 0.0000 0.0000 0.0000
# - M_tot: 0.000 μB per atom

Q: Which of them is the most stable? A: (B).

(A)
# Cu2C | the Alexandria database | GGA-PBE | relaxed
data_Cu2C
_chemical_formula_sum 'Cu8 C4'
_symmetry_space_group_name_H-M 'I 4/m c m'
_symmetry_Int_Tables_number 140
_symmetry_space_group_name_Hall '-I 4 2c'
_cell_length_a 4.9476
_cell_length_b 4.9476
_cell_length_c 4.8833
_cell_angle_alpha 90.00
_cell_angle_beta 90.00
_cell_angle_gamma 90.00
loop_
_atom_site_label
_atom_site_type_symbol
_atom_site_fract_x
_atom_site_fract_y
_atom_site_fract_z
Cu1 Cu 0.1973 0.3027 0.0000
C1 C 0.0000 0.0000 0.2500
# - M_tot: 0.000 μB per atom

(B)
# Cu2C | the Alexandria database | GGA-PBE | relaxed
data_Cu2C
_chemical_formula_sum 'Cu4 C2'
_symmetry_space_group_name_H-M 'P 4/n m m'
_symmetry_Int_Tables_number 129
_cell_length_a 3.3971
_cell_length_b 3.3971
_cell_length_c 5.2683
_cell_angle_alpha 90.00
_cell_angle_beta 90.00
_cell_angle_gamma 90.00
loop_
_symmetry_equiv_pos_as_xyz
'x,y,z'
'-x,-y,-z'
'-y+1/2,x,z'
'y+1/2,-x,-z'
'-x+1/2,-y+1/2,z'
'x+1/2,y+1/2,-z'
'y,-x+1/2,z'
'-y,x+1/2,-z'
'x+1/2,-y,-z'
'-x+1/2,y,z'
'-y,-x,-z'
'y,x,z'
'-x,y+1/2,-z'
'x,-y+1/2,z'
'y+1/2,x+1/2,-z'
'-y+1/2,-x+1/2,z'
loop_
_atom_site_label
_atom_site_type_symbol
_atom_site_fract_x
_atom_site_fract_y
_atom_site_fract_z
Cu1 Cu 0.2500 0.2500 0.1134
Cu2 Cu 0.2500 0.7500 0.5000
C1 C 0.2500 0.2500 0.7449
# - M_tot: 0.000 μB per atom

(C)
# Cu2C | the Alexandria database | GGA-PBE | relaxed
data_Cu2C
_chemical_formula_sum 'Cu8 C4'
_symmetry_space_group_name_H-M 'P 63/m m c'
_symmetry_Int_Tables_number 194
_symmetry_space_group_name_Hall '-P 6c 2c'
_cell_length_a 4.7212
_cell_length_b 4.7212
_cell_length_c 8.2378
_cell_angle_alpha 90.00
_cell_angle_beta 90.00
_cell_angle_gamma 120.00
loop_
_atom_site_label
_atom_site_type_symbol
_atom_site_fract_x
_atom_site_fract_y
_atom_site_fract_z
Cu1 Cu 0.0000 0.0000 0.0000
Cu2 Cu 0.1668 0.3335 0.2500
C1 C 0.3333 0.6667 0.0732
# - M_tot: 0.000 μB per atom

(D)
# Cu2C | the Alexandria database | GGA-PBE | relaxed
data_Cu2C
_chemical_formula_sum 'Cu4 C2'
_symmetry_space_group_name_H-M 'P n n m'
_symmetry_Int_Tables_number 58
_cell_length_a 4.2612
_cell_length_b 4.6610
_cell_length_c 3.2843
_cell_angle_alpha 90.00
_cell_angle_beta 90.00
_cell_angle_gamma 90.00
loop_
_symmetry_equiv_pos_as_xyz
'x,y,z'
'-x,-y,-z'
'-x,-y,z'
'x,y,-z'
'x+1/2,-y+1/2,-z+1/2'
'-x+1/2,y+1/2,z+1/2'
'-x+1/2,y+1/2,-z+1/2'
'x+1/2,-y+1/2,z+1/2'
loop_
_atom_site_label
_atom_site_type_symbol
_atom_site_fract_x
_atom_site_fract_y
_atom_site_fract_z
Cu1 Cu 0.1564 0.2207 0.0000
C1 C 0.0000 0.0000 0.5000
# - M_tot: 0.000 μB per atom

Q: Which of them is the most stable? A: (D).

(A)
# Cu2C | the Alexandria database | GGA-PBE | relaxed
data_Cu2C
_chemical_formula_sum 'Cu8 C4'
_symmetry_space_group_name_H-M 'P n m a'
_symmetry_Int_Tables_number 62
_cell_length_a 5.3875
_cell_length_b 3.2564
_cell_length_c 6.7595
_cell_angle_alpha 90.00
_cell_angle_beta 90.00
_cell_angle_gamma 90.00
loop_
_symmetry_equiv_pos_as_xyz
'x,y,z'
'-x,-y,-z'
'-x+1/2,-y,z+1/2'
'x+1/2,y,-z+1/2'
'x+1/2,-y+1/2,-z+1/2'
'-x+1/2,y+1/2,z+1/2'
'-x,y+1/2,-z'
'x,-y+1/2,z'
loop_
_atom_site_label
_atom_site_type_symbol
_atom_site_fract_x
_atom_site_fract_y
_atom_site_fract_z
Cu1 Cu 0.0033 0.2500 0.1452
Cu2 Cu 0.1347 0.7500 0.4072
C1 C 0.2487 0.2500 0.6088
# - M_tot: 0.000 μB per atom

(B)
# Cu2C | the Alexandria database | GGA-PBE | relaxed
data_Cu2C
_chemical_formula_sum 'Cu8 C4'
_symmetry_space_group_name_H-M 'C m m m'
_symmetry_Int_Tables_number 65
_symmetry_space_group_name_Hall '-C 2 2'
_cell_length_a 4.2943
_cell_length_b 10.7094
_cell_length_c 2.6644
_cell_angle_alpha 90.00
_cell_angle_beta 90.00
_cell_angle_gamma 90.00
loop_
_atom_site_label
_atom_site_type_symbol
_atom_site_fract_x
_atom_site_fract_y
_atom_site_fract_z
Cu1 Cu 0.0000 0.0000 0.0000
Cu2 Cu 0.0000 0.1976 0.5000
Cu3 Cu 0.0000 0.5000 0.5000
C1 C 0.0000 0.3492 0.0000
# - M_tot: 0.000 μB per atom

(C)
# Cu2C | the Alexandria database | GGA-PBE | relaxed
data_Cu2C
_chemical_formula_sum 'Cu2 C1'
_symmetry_space_group_name_H-M 'P -6 m 2'
_symmetry_Int_Tables_number 187
_symmetry_space_group_name_Hall 'P -6 2'
_cell_length_a 2.7279
_cell_length_b 2.7279
_cell_length_c 5.1303
_cell_angle_alpha 90.00
_cell_angle_beta 90.00
_cell_angle_gamma 120.00
loop_
_atom_site_label
_atom_site_type_symbol
_atom_site_fract_x
_atom_site_fract_y
_atom_site_fract_z
Cu1 Cu 0.0000 0.0000 0.2484
C1 C 0.3333 0.6667 0.0000
# - M_tot: 0.000 μB per atom

Q: Which of them is the most stable? A: (A).